# HfCu2Os2 | Alexandria | GGA-PBE | relaxed
# Raw total energy = -7.83 eV/atom
# Total moment = 0.0 μB/f.u.
data_HfCu2Os2
_symmetry_space_group_name_H-M 'I 4/m m m'
_symmetry_Int_Tables_number 139
_symmetry_space_group_name_Hall '-I 4 2'
_cell_length_a 3.4969
_cell_length_b 3.4969
_cell_length_c 12.8679
_cell_angle_alpha 90.00
_cell_angle_beta 90.00
_cell_angle_gamma 90.00
loop_
_atom_site_label
_atom_site_fract_x
_atom_site_fract_y
_atom_site_fract_z
_atom_site_occupancy
Hf1 0.0000 0.0000 0.0000 1
Cu1 0.0000 0.5000 0.2500 1
Os1 0.0000 0.0000 0.3983 1